1.
Compound: SmMg2Tl
Source: Alexandria via LeMat-Bulk
Functional: PBE-GGA
Structure: relaxed

Unit cell a=7.3811 b=7.3811 c=7.3811 alpha=90.00 beta=90.00 gamma=90.00
Closest atoms and distances in Å follow each position.
Space group Fm-3m (No. 225)
Symmetry-distinct sites (fractional):
Sm 0.0000 0.0000 0.0000 [4 per cell]  8 Mg 3.20
Mg 0.2500 0.2500 0.2500 [8 per cell]  4 Tl 3.20, 4 Sm 3.20
Tl 0.0000 0.0000 0.5000 [4 per cell]  8 Mg 3.20

Results
Formation energy from the elements   -0.273 eV/f.u.
VASP energy   -10.5 eV per formula unit
ΔE to the lowest computed polymorph   162 meV per atom

=====

2.
Compound: CrReRh2
Source: Alexandria via LeMat-Bulk
Functional: PBE-GGA
Structure: relaxed

Unit cell a=2.7147 b=2.7147 c=26.2077 alpha=90.00 beta=90.00 gamma=120.00
Closest atoms and distances in Å follow each position.
Space group R3m (No. 160, hexagonal axes)
Symmetry-distinct sites (fractional):
Cr 0.0000 0.0000 0.0000 [3 per cell]  3 Rh 2.53, 6 Cr 2.71, 3 Re 2.73
Re 0.0000 0.0000 0.2482 [3 per cell]  3 Rh 2.67, 6 Re 2.71, 3 Cr 2.73
Rh 0.0000 0.0000 0.4992 [3 per cell]  3 Re 2.67, 9 Rh 2.71-2.84
Rh 0.0000 0.0000 0.7423 [3 per cell]  3 Cr 2.53, 6 Rh 2.71

Results
Formation energy from the elements   0.112 eV/f.u.
VASP energy   -36.7 eV per formula unit
ΔE to the lowest computed polymorph   161 meV per atom

=====

3.
Compound: CaCoTe2I
Source: Alexandria via LeMat-Bulk
Functional: PBE-GGA
Structure: relaxed

Unit cell a=5.1084 b=5.1084 c=5.5205 alpha=90.00 beta=90.00 gamma=90.00
Closest atoms and distances in Å follow each position.
Space group P4/mmm (No. 123)
Symmetry-distinct sites (fractional):
Ca 0.0000 0.0000 0.0000 [1 per cell]  4 I 3.61, 8 Te 3.76
Co 0.5000 0.5000 0.5000 [1 per cell]  4 Te 2.55, 2 I 2.76
Te 0.0000 0.5000 0.5000 [2 per cell]  2 Co 2.55
I 0.5000 0.5000 0.0000 [1 per cell]  2 Co 2.76

Results
Formation energy from raw total energies   -0.29 eV per atom
VASP energy   -18.4 eV per formula unit
ΔE to the lowest computed polymorph   0 meV per atom

=====

4.
Compound: Ta5Ge3B
Source: Alexandria via LeMat-Bulk
Functional: PBE-GGA
Structure: relaxed

Unit cell a=7.7377 b=7.7377 c=5.3670 alpha=90.00 beta=90.00 gamma=120.00
Closest atoms and distances in Å follow each position.
Space group P6_3/mcm (No. 193)
Symmetry-distinct sites (fractional):
Ta 0.0000 0.2426 0.2500 [6 per cell]  2 B 2.31
Ta 0.3333 0.6667 0.0000 [4 per cell]  2 Ta 2.68, 6 Ge 2.71
Ge 0.0000 0.4016 0.7500 [6 per cell]  9 Ta 2.71-2.95
B 0.0000 0.0000 0.0000 [2 per cell]  6 Ta 2.31

Results
Formation energy from the elements   -4.041 eV/f.u.
VASP energy   -83.8 eV per formula unit

=====

5.
Compound: CuC2N2Cl4
Source: Alexandria via LeMat-Bulk
Functional: PBE-GGA
Structure: relaxed

Unit cell a=7.1720 b=10.7938 c=7.0392 alpha=90.00 beta=92.12 gamma=90.00
Closest atoms and distances in Å follow each position.
Space group P2_1/c (No. 14)
Symmetry-distinct sites (fractional):
Cu 0.0000 0.0000 0.0000 [2 per cell]  2 Cl 2.06
C 0.4449 0.0552 0.7459 [4 per cell]  1 N 1.17
N 0.3771 0.5434 0.2549 [4 per cell]  1 C 1.17
Cl 0.0453 0.1886 0.0054 [4 per cell]  1 Cu 2.06
Cl 0.4641 0.6916 0.7636 [4 per cell]  1 C 1.61

Results
Formation energy from raw total energies   0.19 eV per atom
VASP energy   -44.9 eV per formula unit

=====

6.
Compound: BaNbGe2O8
Source: Alexandria via LeMat-Bulk
Functional: PBE-GGA
Structure: relaxed

Unit cell a=4.9898 b=4.9898 c=25.3506 alpha=90.00 beta=90.00 gamma=120.00
Closest atoms and distances in Å follow each position.
Space group R32 (No. 155, hexagonal axes)
Symmetry-distinct sites (fractional):
Ba 0.0000 0.0000 0.0000 [3 per cell]  6 O 2.95
Nb 0.0000 0.0000 0.5000 [3 per cell]  6 O 2.01
Ge 0.0000 0.0000 0.2397 [6 per cell]  4 O 1.73-1.78
O 0.0000 0.0000 0.3080 [6 per cell]  1 Ge 1.73
O 0.0091 0.3162 0.4497 [18 per cell]  1 Ge 1.78

Results
Formation energy from raw total energies   -1.91 eV per atom
VASP energy   -83.9 eV per formula unit